[1]
DFT (GGA-PBE) results for a relaxed structure of BaAgRh.

Results
Its crystal system is cubic. The excess energy over the best structure of this formula in the dataset is 0.1664 eV/atom. The energy relative to the elements comes out at 0.156 eV per atom.

a b c (Å): 4.8948 4.8948 4.8948
angles (deg): 60.00 60.00 60.00
Atoms (fractional coordinates):
Ba (0.0000, 0.0000, 0.0000)
Ag (0.5000, 0.5000, 0.5000)
Rh (0.2500, 0.2500, 0.2500)

[2]
DFT (GGA-PBE) results for a relaxed structure of Ba4AgRh2.

Results
Its crystal system is orthorhombic. The energy relative to the elements comes out at -0.130 eV per atom.

a b c (Å): 8.5299 8.5202 9.9351
angles (deg): 54.40 54.31 71.28
Atoms (fractional coordinates):
Ba (0.0805, 0.2162, 0.0315)
Ba (0.2162, 0.0805, 0.6718)
Ba (0.2185, 0.5782, 0.1695)
Ba (0.3206, 0.6794, 0.4314)
Ba (0.5782, 0.2185, 0.0338)
Ba (0.6794, 0.3206, 0.5686)
Ba (0.6814, 0.8186, 0.5706)
Ba (0.8186, 0.6814, 0.9294)
Ag (0.0739, 0.0739, 0.4261)
Ag (0.8239, 0.8239, 0.1761)
Rh (0.3069, 0.5915, 0.8006)
Rh (0.4494, 0.9489, 0.9431)
Rh (0.5915, 0.3069, 0.3011)
Rh (0.9489, 0.4494, 0.6585)